Density functional theory data (GGA-PBE) for a relaxed LiAcTi2O6 crystal.

Cell and atoms, written as extended XYZ:
```
20
Lattice="-5.205 1.183 -3.640 1.184 -3.301 -6.342 -5.319 -4.121 2.692" Properties=species:S:1:pos:R:3 pbc="T T T"
O -8.766 -3.540 -3.482
O -1.737 -0.554 -2.335
O -3.192 -3.757 -5.789
O -7.603 -5.685 -4.955
O -6.807 -1.724 -4.472
O -2.533 -4.515 -2.818
O -5.687 -3.993 -3.872
O -4.024 -6.154 -4.490
O -5.316 -0.086 -2.800
O -6.148 -2.483 -1.501
O -0.574 -2.700 -3.808
O -3.652 -2.246 -3.418
Ti -5.491 -1.908 -3.045
Ti -3.849 -4.332 -4.245
Ti -1.869 -2.371 -2.642
Ti -7.471 -3.869 -4.648
Ac -8.517 -3.145 -1.018
Ac -0.822 -3.095 -6.272
Li -5.292 -3.658 -0.063
Li -4.048 -2.582 -7.227
```

Calculated values
- Total DFT energy (no corrections): -0.602 Ry/atom
- Formation energy without anion corrections: -293 kJ/mol of atoms